*1*
The following is a DFT calculation (PBE) of crystalline LiSb2HI at its relaxed geometry.

Cell: 5.0210 5.0210 5.6054 Å, 90.00 90.00 90.00°
Closest atoms and distances in Å follow each position.
Fractional positions:
I1 0.0000 0.0000 0.5000  2 Li 2.80
Sb1 0.0000 0.5000 0.0000  2 Li 2.51
Sb2 0.5000 0.0000 0.0000  2 Li 2.51
H1 0.5000 0.5000 0.5000  4 I 3.55, 8 Sb 3.76
Li1 0.0000 0.0000 0.0000  4 Sb 2.51, 2 I 2.80

## Properties
Crystal system = tetragonal
Space-group type = P4/mmm (123)
ρ = 4.45 Mg/m³
Magnetization = 0.1453 μB/atom

*2*
The following is a DFT calculation (PBE) of crystalline LiSb2HI at its relaxed geometry.

Cell: 4.2892 4.2892 8.2705 Å, 90.00 90.00 90.00°
Closest atoms and distances in Å follow each position.
Fractional positions:
I1 0.0000 0.0000 0.5000  4 Li 3.03
Sb1 0.0000 0.5000 0.0000  2 H 2.14
Sb2 0.5000 0.0000 0.0000  2 H 2.14
H1 0.0000 0.0000 0.0000  4 Sb 2.14
Li1 0.5000 0.5000 0.5000  4 I 3.03

## Properties
Crystal system = tetragonal
Space-group type = P4/mmm (123)
ρ = 4.13 Mg/m³
Magnetization = 0.0000 μB/atom

Least stable = *1*